YTlBi2: relaxed, PBE-GGA.

The structure belongs to space group P4/mmm (No. 123); the cell edges are 4.2214, 4.2214 and 6.8618 Å and the angles 90.00°, 90.00° and 90.00°. The distinct sites, in fractional coordinates, are Y at (0.0000, 0.0000, 0.0000), Tl at (0.0000, 0.0000, 0.5000) and Bi at (0.5000, 0.5000, 0.2308).

The energy above the most stable polymorph in this dataset comes out at 0 meV per atom. As for the magnetic moment: 0.00 μB/f.u. The theoretical density comes out at 9.66 g/cm3. The formation energy from the elements is -1.60 eV per formula unit. For the electronic total energy, the calculation gives -18.19 eV/f.u. Its density of states at the Fermi level is 2.97 states/eV/cell.